# Zr2TcPb

A geometry-optimized Zr2TcPb structure (GGA-PBEsol, the Alexandria database).

Unit cell a=5.290 b=5.290 c=5.290 alpha=137.88 beta=125.26 gamma=71.39
Positions (direct):
1 Zr 0.218 0.218 0.000
2 Zr 0.782 0.782 0.000
3 Tc 0.000 0.500 0.500
4 Pb 0.500 0.000 0.500

Values from the calculation:
Crystal system: orthorhombic
Volume in Å³/atom: 19.85
Energy above the most stable polymorph in this dataset in meV per atom: 153.8
Raw total energy in eV/atom: -8.480
M_tot in μB/cell: 0.00

# Zr3TcPb

A geometry-optimized Zr3TcPb structure (GGA-PBEsol, the Alexandria database).

Unit cell a=5.222 b=5.222 c=5.222 alpha=90.00 beta=90.00 gamma=90.00
Positions (direct):
1 Zr 0.000 0.000 0.500
2 Zr 0.000 0.500 0.000
3 Zr 0.500 0.000 0.000
4 Tc 0.500 0.500 0.500
5 Pb 0.000 0.000 0.000

Values from the calculation:
Crystal system: cubic
Volume in Å³/atom: 28.48
Raw total energy in eV/atom: -6.703
M_tot in μB/cell: 1.36

# TiTe2Pb

A geometry-optimized TiTe2Pb structure (GGA-PBEsol, the Alexandria database).

Unit cell a=10.100 b=10.100 c=10.100 alpha=20.65 beta=20.65 gamma=20.65
Positions (direct):
1 Ti 0.000 0.000 0.000
2 Te 0.392 0.392 0.392
3 Te 0.608 0.608 0.608
4 Pb 0.500 0.500 0.500

Values from the calculation:
Crystal system: trigonal
Volume in Å³/atom: 28.05
ΔE_f (raw) in kJ per mole of atoms: -47.4
Raw total energy in eV/atom: -5.335
M_tot in μB/cell: 0.00

# Ti2TePb

A geometry-optimized Ti2TePb structure (GGA-PBEsol, the Alexandria database).

Unit cell a=4.821 b=4.821 c=4.821 alpha=60.00 beta=60.00 gamma=60.00
Positions (direct):
1 Ti 0.250 0.250 0.250
2 Ti 0.750 0.750 0.750
3 Te 0.000 0.000 0.000
4 Pb 0.500 0.500 0.500

Values from the calculation:
Crystal system: cubic
Volume in Å³/atom: 19.81
ΔE_f (raw) in kJ per mole of atoms: -9.1
Raw total energy in eV/atom: -6.136
M_tot in μB/cell: 0.54

# TiTe3Pb

A geometry-optimized TiTe3Pb structure (GGA-PBEsol, the Alexandria database).

Unit cell a=5.300 b=5.300 c=5.300 alpha=90.00 beta=90.00 gamma=90.00
Positions (direct):
1 Ti 0.000 0.000 0.000
2 Te 0.000 0.000 0.500
3 Te 0.000 0.500 0.000
4 Te 0.500 0.000 0.000
5 Pb 0.500 0.500 0.500

Values from the calculation:
Crystal system: cubic
Volume in Å³/atom: 29.78
ΔE_f (raw) in kJ per mole of atoms: -15.1
Raw total energy in eV/atom: -4.737
M_tot in μB/cell: 0.00

# TlTe4Pb

A geometry-optimized TlTe4Pb structure (GGA-PBEsol, the Alexandria database).

Unit cell a=6.387 b=6.387 c=6.387 alpha=60.00 beta=60.00 gamma=60.00
Positions (direct):
1 Tl 0.000 0.000 0.000
2 Te 0.375 0.375 0.375
3 Te 0.375 0.375 0.875
4 Te 0.375 0.875 0.375
5 Te 0.875 0.375 0.375
6 Pb 0.750 0.750 0.750

Values from the calculation:
Crystal system: cubic
Volume in Å³/atom: 30.70
ΔE_f (raw) in kJ per mole of atoms: 17.2
Raw total energy in eV/atom: -3.278
M_tot in μB/cell: 0.00

# TePb2W

A geometry-optimized TePb2W structure (GGA-PBEsol, the Alexandria database).

Unit cell a=5.042 b=5.042 c=7.131 alpha=110.00 beta=110.00 gamma=38.25
Positions (direct):
1 Te 0.000 0.000 0.000
2 Pb 0.640 0.640 0.639
3 Pb 0.828 0.828 0.363
4 W 0.286 0.286 0.006

Values from the calculation:
Crystal system: monoclinic
Volume in Å³/atom: 26.16
ΔE_f (raw) in kJ per mole of atoms: 45.3
Raw total energy in eV/atom: -5.863
M_tot in μB/cell: 0.02

# TePb2W

A geometry-optimized TePb2W structure (GGA-PBEsol, the Alexandria database).

Unit cell a=7.442 b=7.442 c=7.442 alpha=154.85 beta=144.35 gamma=44.13
Positions (direct):
1 Te 0.000 0.000 0.000
2 Pb 0.315 0.815 0.500
3 Pb 0.685 0.185 0.500
4 W 0.500 0.500 0.000

Values from the calculation:
Crystal system: orthorhombic
Volume in Å³/atom: 25.46
ΔE_f (raw) in kJ per mole of atoms: 61.5
Raw total energy in eV/atom: -5.695
M_tot in μB/cell: 0.00

# TePbW

A geometry-optimized TePbW structure (GGA-PBEsol, the Alexandria database).

Unit cell a=3.292 b=3.292 c=7.976 alpha=90.00 beta=90.00 gamma=120.00
Positions (direct):
1 Te 0.000 0.000 0.000
2 Pb 0.667 0.333 0.466
3 W 0.333 0.667 0.765

Values from the calculation:
Crystal system: trigonal
Volume in Å³/atom: 24.95
Energy above the most stable polymorph in this dataset in meV per atom: 0.0
ΔE_f (raw) in kJ per mole of atoms: 41.0
Raw total energy in eV/atom: -6.686
M_tot in μB/cell: 0.00

# TePb2W

A geometry-optimized TePb2W structure (GGA-PBEsol, the Alexandria database).

Unit cell a=3.447 b=5.091 c=5.405 alpha=90.00 beta=90.00 gamma=90.00
Positions (direct):
1 Te 0.000 0.000 0.000
2 Pb 0.000 0.500 0.500
3 Pb 0.500 0.000 0.500
4 W 0.500 0.500 0.000

Values from the calculation:
Crystal system: orthorhombic
Volume in Å³/atom: 23.71
ΔE_f (raw) in kJ per mole of atoms: 93.0
Raw total energy in eV/atom: -5.368
M_tot in μB/cell: 1.52

# TePbW

A geometry-optimized TePbW structure (GGA-PBEsol, the Alexandria database).

Unit cell a=4.820 b=4.820 c=4.820 alpha=60.00 beta=60.00 gamma=60.00
Positions (direct):
1 Te 0.000 0.000 0.000
2 Pb 0.250 0.250 0.250
3 W 0.500 0.500 0.500

Values from the calculation:
Crystal system: cubic
Volume in Å³/atom: 26.39
Energy above the most stable polymorph in this dataset in meV per atom: 1366.1
ΔE_f (raw) in kJ per mole of atoms: 172.8
Raw total energy in eV/atom: -5.320
M_tot in μB/cell: 0.00

# TePb2W

A geometry-optimized TePb2W structure (GGA-PBEsol, the Alexandria database).

Unit cell a=5.651 b=5.651 c=3.062 alpha=90.00 beta=90.00 gamma=90.00
Positions (direct):
1 Te 0.000 0.000 0.000
2 Pb 0.000 0.500 0.500
3 Pb 0.500 0.000 0.500
4 W 0.500 0.500 0.000

Values from the calculation:
Crystal system: tetragonal
Volume in Å³/atom: 24.44
ΔE_f (raw) in kJ per mole of atoms: 96.3
Raw total energy in eV/atom: -5.334
M_tot in μB/cell: 1.07

# TePb2W

A geometry-optimized TePb2W structure (GGA-PBEsol, the Alexandria database).

Unit cell a=3.491 b=8.060 c=8.060 alpha=27.30 beta=90.00 gamma=90.00
Positions (direct):
1 Te 0.000 0.000 0.000
2 Pb 0.000 0.297 0.297
3 Pb 0.500 0.663 0.663
4 W 0.500 0.874 0.874

Values from the calculation:
Crystal system: orthorhombic
Volume in Å³/atom: 26.00
ΔE_f (raw) in kJ per mole of atoms: 53.2
Raw total energy in eV/atom: -5.782
M_tot in μB/cell: 0.00

# TePb2W

A geometry-optimized TePb2W structure (GGA-PBEsol, the Alexandria database).

Unit cell a=5.088 b=5.088 c=5.088 alpha=119.90 beta=119.90 gamma=90.17
Positions (direct):
1 Te 0.000 0.000 0.000
2 Pb 0.500 0.500 0.000
3 Pb 0.750 0.250 0.500
4 W 0.250 0.750 0.500

Values from the calculation:
Crystal system: tetragonal
Volume in Å³/atom: 23.33
ΔE_f (raw) in kJ per mole of atoms: 91.4
Raw total energy in eV/atom: -5.386
M_tot in μB/cell: 0.95

# Zn2TePbW

A geometry-optimized Zn2TePbW structure (GGA-PBEsol, the Alexandria database).

Unit cell a=4.928 b=4.928 c=6.066 alpha=90.00 beta=90.00 gamma=90.00
Positions (direct):
1 Zn 0.000 0.500 0.000
2 Zn 0.500 0.000 0.000
3 Te 0.000 0.000 0.500
4 Pb 0.000 0.000 0.000
5 W 0.500 0.500 0.500

Values from the calculation:
Crystal system: tetragonal
Volume in Å³/atom: 29.46
ΔE_f (raw) in kJ per mole of atoms: 169.0
Raw total energy in eV/atom: -3.148
M_tot in μB/cell: 4.34

# Y2TePb

A geometry-optimized Y2TePb structure (GGA-PBEsol, the Alexandria database).

Unit cell a=3.664 b=3.664 c=8.029 alpha=90.00 beta=90.00 gamma=96.43
Positions (direct):
1 Y 0.000 0.000 0.241
2 Y 0.000 0.000 0.759
3 Te 0.500 0.500 0.000
4 Pb 0.500 0.500 0.500

Values from the calculation:
Crystal system: orthorhombic
Volume in Å³/atom: 26.77
Energy above the most stable polymorph in this dataset in meV per atom: 164.1
ΔE_f (raw) in kJ per mole of atoms: -82.9
Raw total energy in eV/atom: -6.152
M_tot in μB/cell: 0.00